No. 1
A PBEsol-optimized structure of MnFe3, computed with meta-GGA SCAN.

Lattice parameters (Å, degrees): 2.3832 3.9383 4.6174 90.00 99.91 90.00
Sites, in units of the cell vectors:
Mn 0.0000 0.0000 0.0000
Fe 0.2519 0.5000 0.7513
Fe 0.5000 0.0000 0.5000
Fe 0.7481 0.5000 0.2487

Computed properties:
Calculated total energy, eV/cell: -72.378
DFT formation energy, eV per atom: 0.066

=====

No. 2
A PBEsol-optimized structure of SrTl2Pd2, computed with meta-GGA SCAN.

Lattice parameters (Å, degrees): 4.9060 4.9060 10.1502 90.00 90.00 90.00
Sites, in units of the cell vectors:
Sr 0.0000 0.0000 0.0000
Sr 0.5000 0.5000 0.5000
Tl 0.0000 0.0000 0.3566
Tl 0.0000 0.0000 0.6434
Tl 0.5000 0.5000 0.1434
Tl 0.5000 0.5000 0.8566
Pd 0.0000 0.5000 0.2500
Pd 0.0000 0.5000 0.7500
Pd 0.5000 0.0000 0.2500
Pd 0.5000 0.0000 0.7500

Computed properties:
Calculated total energy, eV/cell: -469.171
DFT formation energy, eV per atom: -0.409

=====

No. 3
A PBEsol-optimized structure of AsOsRu2, computed with meta-GGA SCAN.

Lattice parameters (Å, degrees): 2.7853 2.7853 24.7627 90.00 90.00 120.00
Sites, in units of the cell vectors:
As 0.0000 0.0000 0.0000
As 0.3333 0.6667 0.6667
As 0.6667 0.3333 0.3333
Os 0.0000 0.0000 0.7498
Os 0.3333 0.6667 0.4165
Os 0.6667 0.3333 0.0832
Ru 0.0000 0.0000 0.2552
Ru 0.0000 0.0000 0.5013
Ru 0.3333 0.6667 0.1680
Ru 0.3333 0.6667 0.9219
Ru 0.6667 0.3333 0.5885
Ru 0.6667 0.3333 0.8346

Computed properties:
Calculated total energy, eV/cell: -482.500
DFT formation energy, eV per atom: 0.222

=====

No. 4
A PBEsol-optimized structure of LaPbSe, computed with meta-GGA SCAN.

Lattice parameters (Å, degrees): 7.2956 7.2956 7.2956 90.00 90.00 90.00
Sites, in units of the cell vectors:
La 0.0000 0.0000 0.0000
La 0.0000 0.5000 0.5000
La 0.5000 0.0000 0.5000
La 0.5000 0.5000 0.0000
Pb 0.2500 0.2500 0.7500
Pb 0.2500 0.7500 0.2500
Pb 0.7500 0.2500 0.2500
Pb 0.7500 0.7500 0.7500
Se 0.0000 0.0000 0.5000
Se 0.0000 0.5000 0.0000
Se 0.5000 0.0000 0.0000
Se 0.5000 0.5000 0.5000

Computed properties:
Energy relative to the elements, uncorrected, eV/atom: -0.457
Calculated total energy, eV/cell: -561.341
Energy relative to the lowest polymorph listed for this composition, eV per formula unit: 1.06